# Rb2LaAlFe

A relaxed Rb2LaAlFe crystal (PBE-GGA, Alexandria).

Cell: 5.9805 4.8135 5.9805 Å, 90.00 90.00 90.00°
Each line ends with the local moment (μB).
Element x y z (fractional)
Al 0.0000 0.5000 0.0000  -0.04
Fe 0.0000 0.0000 0.0000  2.52
Rb 0.0000 0.0000 0.5000  -0.01
Rb 0.5000 0.0000 0.0000  0.01
La 0.5000 0.5000 0.5000  -0.05

Computed properties:
The value obtained for the energy of formation from the pure elements is 1.01 eV per atom. The value obtained for the electronic total energy is -2.802 eV per atom.